# Li4Co3TeO8 | Alexandria via LeMat-Bulk | PBE+U | relaxed
data_Li4Co3TeO8
_chemical_formula_sum 'Li12 Co9 Te3 O24'
_symmetry_space_group_name_H-M 'R -3 m'
_symmetry_Int_Tables_number 166
_symmetry_space_group_name_Hall '-R 3 2"'
_cell_length_a 6.1092
_cell_length_b 6.1092
_cell_length_c 14.5839
_cell_angle_alpha 90.00
_cell_angle_beta 90.00
_cell_angle_gamma 120.00
loop_
_atom_site_label
_atom_site_type_symbol
_atom_site_fract_x
_atom_site_fract_y
_atom_site_fract_z
_atom_site_occupancy
Li1 Li 0.0000 0.0000 0.0000 1
Li2 Li 0.0000 0.5000 0.0000 1
Co1 Co 0.0000 0.5000 0.5000 1
Te1 Te 0.0000 0.0000 0.5000 1
O1 O 0.0000 0.0000 0.2380 1
O2 O 0.0295 0.5148 0.2447 1
# Raw total energy in eV for the cell shown: -267.15